Cs6Ti2O7 | SCAN | PBEsol geometry

Calculated values
Formation energy without anion corrections: -2.41 eV per atom
Volume: 23.4 Å³ per atom
Space-group type: P2_1/c

Unit cell a=7.1199 b=9.9062 c=9.9765 alpha=90.00 beta=92.04 gamma=90.00
Atoms (fractional coordinates):
O (0.5669, 0.2867, 0.0735)
O (0.1980, 0.1632, 0.1340)
Cs (0.2530, 0.4743, 0.0495)
Cs (0.8816, 0.1499, 0.9208)
O (0.5474, 0.0879, 0.2906)
Cs (0.1184, 0.8501, 0.0792)
Cs (0.2470, 0.9743, 0.4505)
O (0.9526, 0.5879, 0.2094)
Cs (0.3816, 0.3501, 0.4208)
Ti (0.9494, 0.3644, 0.6279)
O (0.6980, 0.3368, 0.6340)
O (0.4526, 0.9121, 0.7094)
Cs (0.3793, 0.2143, 0.7789)
Ti (0.4494, 0.1356, 0.1279)
Cs (0.8793, 0.2857, 0.2789)
O (0.0000, 0.5000, 0.5000)
O (0.8020, 0.8368, 0.8660)
O (0.4331, 0.7133, 0.9265)
Cs (0.6207, 0.7857, 0.2211)
O (0.0474, 0.4121, 0.7906)
Cs (0.7530, 0.0257, 0.5495)
Ti (0.5506, 0.8644, 0.8721)
O (0.3020, 0.6632, 0.3660)
Cs (0.7470, 0.5257, 0.9505)
Ti (0.0506, 0.6356, 0.3721)
O (0.9331, 0.7867, 0.4265)
Cs (0.1207, 0.7143, 0.7211)
Cs (0.6184, 0.6499, 0.5792)
O (0.5000, 0.0000, 0.0000)
O (0.0669, 0.2133, 0.5735)